[1]
Entry from Alexandria: a geometry-optimized Zr2AlAu structure (PBE).

## Properties
- D(E_F): 0.766 states/eV per atom
- DFT formation energy: -1.88 eV/f.u.

Cell lengths 5.8827, 8.2927, 3.2207 Å; angles 90.00, 90.00, 90.00 degrees
Last column: nearest neighbours and their distance in Å.
Space group Cmmm (No. 65)
One atom of each set of equivalent atoms:
Zr  0.2500  0.2500  0.0000  4 Zr 2.94-3.22, 4 Al 3.01, 4 Au 3.01
Al  0.0000  0.0000  0.5000  2 Au 2.94, 8 Zr 3.01, 2 Al 3.22
Au  0.0000  0.5000  0.5000  2 Al 2.94, 8 Zr 3.01, 2 Au 3.22

***

[2]
Entry from Alexandria: a geometry-optimized Er5Sb2Os structure (PBE).

## Properties
- Raw formation energy: -2.26 eV per formula unit
- D(E_F): 0.688 states/eV per atom

Cell lengths 5.5703, 14.6193, 14.5698 Å; angles 90.00, 90.00, 90.00 degrees
Last column: nearest neighbours and their distance in Å.
Space group Cmcm (No. 63)
One atom of each set of equivalent atoms:
Er  0.0000  0.0495  0.1269  1 Os 2.64
Er  0.0000  0.2897  0.7500  2 Os 2.82
Er  0.0000  0.2919  0.1051  1 Os 2.65
Sb  0.0000  0.1479  0.5575  5 Er 3.00-3.17
Os  0.0000  0.1819  0.2500  6 Er 2.64-2.82

***

[3]
Entry from Alexandria: a geometry-optimized PrDy2SbN4 structure (PBE).

## Properties
- Raw formation energy: -6.29 eV per formula unit
- D(E_F): 0.048 states/eV per atom

Cell lengths 3.3540, 13.4909, 11.6399 Å; angles 90.00, 90.00, 90.00 degrees
Last column: nearest neighbours and their distance in Å.
Space group Cmcm (No. 63)
One atom of each set of equivalent atoms:
Pr  0.0000  0.2368  0.2500  6 N 2.48-2.63
Dy  0.0000  0.3689  0.5032  5 N 2.37-2.44
Sb  0.0000  0.0142  0.7500  2 N 2.16
N  0.0000  0.0000  0.0000  4 Dy 2.44
N  0.0000  0.2121  0.6052  3 Dy 2.37-2.43, 2 Pr 2.48
N  0.0000  0.4131  0.7500  2 Sb 2.16

***

[4]
Entry from Alexandria: a geometry-optimized RbNaTl3 structure (PBE).

## Properties
- ΔE to the lowest computed polymorph: 198 meV per atom
- D(E_F): 0.752 states/eV per atom
- DFT formation energy: 0.72 eV/f.u.

Cell lengths 5.8438, 5.8438, 5.8438 Å; angles 90.00, 90.00, 90.00 degrees
Last column: nearest neighbours and their distance in Å.
Space group Pm-3m (No. 221)
One atom of each set of equivalent atoms:
Rb  0.0000  0.0000  0.0000  12 Tl 4.13
Na  0.5000  0.5000  0.5000  6 Tl 2.92
Tl  0.0000  0.5000  0.5000  2 Na 2.92